(1)
# CdIn3Br

Crystalline CdIn3Br at its relaxed geometry (PBE-GGA, the Alexandria database).

Summary:
Energy above the lowest structure with this stoichiometry (meV/atom): 0
N(E_F) (states/eV per cell): 2.76
SG: Pm-3m
Formation energy from raw total energies (eV per atom): 0.0604

a b c (Å): 5.6221 5.6221 5.6221
angles (deg): 90.00 90.00 90.00
Atoms (fractional coordinates):
Cd 0.0000 0.0000 0.0000
In 0.0000 0.0000 0.5000
In 0.0000 0.5000 0.0000
In 0.5000 0.0000 0.0000
Br 0.5000 0.5000 0.5000



(2)
# CaTbCdSi

Crystalline CaTbCdSi at its relaxed geometry (PBE-GGA, the Alexandria database).

Summary:
N(E_F) (states/eV per cell): 3.42
SG: F-43m
Formation energy from raw total energies (eV per atom): -0.3389

a b c (Å): 5.1630 5.1630 5.1630
angles (deg): 60.00 60.00 60.00
Atoms (fractional coordinates):
Ca 0.0000 0.0000 0.0000
Tb 0.5000 0.5000 0.5000
Cd 0.2500 0.2500 0.2500
Si 0.7500 0.7500 0.7500



(3)
# Pm2Pr8Sc3

Crystalline Pm2Pr8Sc3 at its relaxed geometry (PBE-GGA, the Alexandria database).

Summary:
Energy above the lowest structure with this stoichiometry (meV/atom): 183
ΔH_f (0 K) (eV/atom): 0.2333
N(E_F) (states/eV per cell): 19.03
SG: C2/m

a b c (Å): 8.8257 8.8257 6.7371
angles (deg): 98.35 98.35 60.97
Atoms (fractional coordinates):
Pm 0.1970 0.1970 0.2998
Pm 0.8030 0.8030 0.7002
Pr 0.1870 0.1870 0.8208
Pr 0.2064 0.5735 0.5677
Pr 0.4079 0.4079 0.0953
Pr 0.4265 0.7936 0.4323
Pr 0.5735 0.2064 0.5677
Pr 0.5921 0.5921 0.9047
Pr 0.7936 0.4265 0.4323
Pr 0.8130 0.8130 0.1792
Sc 0.0000 0.0000 0.5000
Sc 0.1605 0.8395 0.0000
Sc 0.8395 0.1605 0.0000



(4)
# SrSb2Rh

Crystalline SrSb2Rh at its relaxed geometry (PBE-GGA, the Alexandria database).

Summary:
N(E_F) (states/eV per cell): 3.02
SG: P4mm
Formation energy from raw total energies (eV per atom): -0.3206

a b c (Å): 3.7433 3.7433 7.3476
angles (deg): 90.00 90.00 90.00
Atoms (fractional coordinates):
Sr 0.0000 0.0000 0.0000
Sb 0.0000 0.0000 0.4439
Sb 0.5000 0.5000 0.7118
Rh 0.5000 0.5000 0.3413



(5)
# Ca2HgIrS

Crystalline Ca2HgIrS at its relaxed geometry (PBE-GGA, the Alexandria database).

Summary:
N(E_F) (states/eV per cell): 2.88
SG: P4/mmm
Formation energy from raw total energies (eV per atom): -0.0385

a b c (Å): 5.1863 5.1863 4.8859
angles (deg): 90.00 90.00 90.00
Atoms (fractional coordinates):
Ca 0.0000 0.5000 0.0000
Ca 0.5000 0.0000 0.0000
Hg 0.0000 0.0000 0.5000
Ir 0.5000 0.5000 0.5000
S 0.0000 0.0000 0.0000



(6)
# Ho3TmTl

Crystalline Ho3TmTl at its relaxed geometry (PBE-GGA, the Alexandria database).

Summary:
Energy above the lowest structure with this stoichiometry (meV/atom): 0
ΔH_f (0 K) (eV/atom): -0.1174
N(E_F) (states/eV per cell): 11.16
SG: Cmcm

a b c (Å): 12.7793 12.7793 4.7716
angles (deg): 90.00 90.00 158.43
Atoms (fractional coordinates):
Ho 0.0486 0.9514 0.7500
Ho 0.2506 0.7494 0.7500
Ho 0.4478 0.5522 0.7500
Ho 0.5522 0.4478 0.2500
Ho 0.7494 0.2506 0.2500
Ho 0.9514 0.0486 0.2500
Tm 0.1498 0.8502 0.2500
Tm 0.8502 0.1498 0.7500
Tl 0.3484 0.6516 0.2500
Tl 0.6516 0.3484 0.7500



(7)
# YGeTe2N

Crystalline YGeTe2N at its relaxed geometry (PBE-GGA, the Alexandria database).

Summary:
Energy above the lowest structure with this stoichiometry (meV/atom): 0
N(E_F) (states/eV per cell): 3.16
SG: P4/mmm
Formation energy from raw total energies (eV per atom): 0.0642

a b c (Å): 5.5915 5.5915 3.7518
angles (deg): 90.00 90.00 90.00
Atoms (fractional coordinates):
Y 0.0000 0.0000 0.0000
Ge 0.5000 0.5000 0.5000
Te 0.0000 0.5000 0.5000
Te 0.5000 0.0000 0.5000
N 0.5000 0.5000 0.0000



(8)
# SrBeTe4

Crystalline SrBeTe4 at its relaxed geometry (PBE-GGA, the Alexandria database).

Summary:
N(E_F) (states/eV per cell): 0.78
SG: F-43m
Formation energy from raw total energies (eV per atom): 0.1823

a b c (Å): 6.4618 6.4618 6.4618
angles (deg): 60.00 60.00 60.00
Atoms (fractional coordinates):
Sr 0.0000 0.0000 0.0000
Be 0.2500 0.2500 0.2500
Te 0.1259 0.6247 0.6247
Te 0.6247 0.1259 0.6247
Te 0.6247 0.6247 0.1259
Te 0.6247 0.6247 0.6247



(9)
# Zn2CrRh

Crystalline Zn2CrRh at its relaxed geometry (PBE-GGA, the Alexandria database).

Summary:
Energy above the lowest structure with this stoichiometry (meV/atom): 222
ΔH_f (0 K) (eV/atom): 0.0886
N(E_F) (states/eV per cell): 2.32
SG: Cmmm

a b c (Å): 2.6275 2.6275 8.4581
angles (deg): 90.00 90.00 111.11
Atoms (fractional coordinates):
Zn 0.0000 0.0000 0.2491
Zn 0.0000 0.0000 0.7509
Cr 0.5000 0.5000 0.0000
Rh 0.5000 0.5000 0.5000



(10)
# TbErSiHg

Crystalline TbErSiHg at its relaxed geometry (PBE-GGA, the Alexandria database).

Summary:
N(E_F) (states/eV per cell): 3.07
SG: F-43m
Formation energy from raw total energies (eV per atom): -0.4561

a b c (Å): 5.0999 5.0999 5.0999
angles (deg): 60.00 60.00 60.00
Atoms (fractional coordinates):
Tb 0.0000 0.0000 0.0000
Er 0.5000 0.5000 0.5000
Si 0.2500 0.2500 0.2500
Hg 0.7500 0.7500 0.7500



(11)
# SrAlCo2

Crystalline SrAlCo2 at its relaxed geometry (PBE-GGA, the Alexandria database).

Summary:
ΔH_f (0 K) (eV/atom): 0.1713
N(E_F) (states/eV per cell): 3.62
SG: P4mm

a b c (Å): 3.1304 3.1304 7.3163
angles (deg): 90.00 90.00 90.00
Atoms (fractional coordinates):
Sr 0.0000 0.0000 0.0000
Al 0.5000 0.5000 0.3477
Co 0.0000 0.0000 0.5463
Co 0.5000 0.5000 0.6829



(12)
# CaCe2Tl

Crystalline CaCe2Tl at its relaxed geometry (PBE-GGA, the Alexandria database).

Summary:
Energy above the lowest structure with this stoichiometry (meV/atom): 189
ΔH_f (0 K) (eV/atom): 0.1424
N(E_F) (states/eV per cell): 9.91
SG: R-3m

a b c (Å): 12.5272 12.5272 12.5272
angles (deg): 15.46 15.46 15.46
Atoms (fractional coordinates):
Ca 0.0000 0.0000 0.0000
Ce 0.0908 0.0908 0.0908
Ce 0.9092 0.9092 0.9092
Tl 0.5000 0.5000 0.5000



(13)
# Pm5ThTl6

Crystalline Pm5ThTl6 at its relaxed geometry (PBE-GGA, the Alexandria database).

Summary:
ΔH_f (0 K) (eV/atom): -0.3357
N(E_F) (states/eV per cell): 4.57
SG: C2/m

a b c (Å): 9.5185 9.5185 5.5114
angles (deg): 106.76 106.76 47.74
Atoms (fractional coordinates):
Pm 0.0000 0.0000 0.0000
Pm 0.1693 0.1693 0.6696
Pm 0.3384 0.3384 0.3379
Pm 0.6616 0.6616 0.6621
Pm 0.8307 0.8307 0.3304
Th 0.5000 0.5000 0.0000
Tl 0.0766 0.5861 0.8309
Tl 0.2408 0.7592 0.5000
Tl 0.4139 0.9234 0.1691
Tl 0.5861 0.0766 0.8309
Tl 0.7592 0.2408 0.5000
Tl 0.9234 0.4139 0.1691



(14)
# Sr8Ga2Pd

Crystalline Sr8Ga2Pd at its relaxed geometry (PBE-GGA, the Alexandria database).

Summary:
Energy above the lowest structure with this stoichiometry (meV/atom): 6
ΔH_f (0 K) (eV/atom): -0.2386
N(E_F) (states/eV per cell): 10.93
SG: C2/m

a b c (Å): 10.4467 10.4467 7.6633
angles (deg): 105.41 105.41 31.13
Atoms (fractional coordinates):
Sr 0.0335 0.0335 0.2993
Sr 0.2105 0.2105 0.8161
Sr 0.3385 0.3385 0.5372
Sr 0.4066 0.4066 0.0696
Sr 0.5934 0.5934 0.9304
Sr 0.6615 0.6615 0.4628
Sr 0.7895 0.7895 0.1839
Sr 0.9665 0.9665 0.7007
Ga 0.1854 0.1854 0.2172
Ga 0.8146 0.8146 0.7828
Pd 0.5000 0.5000 0.5000



(15)
# NdSm3Dy2Se6

Crystalline NdSm3Dy2Se6 at its relaxed geometry (PBE-GGA, the Alexandria database).

Summary:
N(E_F) (states/eV per cell): 5.42
SG: C2/m
Formation energy from raw total energies (eV per atom): -1.8000

a b c (Å): 7.1915 7.1915 7.1977
angles (deg): 99.55 99.55 120.25
Atoms (fractional coordinates):
Nd 0.0000 0.0000 0.0000
Sm 0.1604 0.8396 0.5000
Sm 0.5000 0.5000 0.5000
Sm 0.8396 0.1604 0.5000
Dy 0.3342 0.6658 0.0000
Dy 0.6658 0.3342 0.0000
Se 0.0820 0.4251 0.2472
Se 0.2618 0.2618 0.7578
Se 0.4251 0.0820 0.2472
Se 0.5749 0.9180 0.7528
Se 0.7382 0.7382 0.2422
Se 0.9180 0.5749 0.7528



(16)
# ZrFe2Si

Crystalline ZrFe2Si at its relaxed geometry (PBE-GGA, the Alexandria database).

Summary:
N(E_F) (states/eV per cell): 3.18
SG: Pm
Formation energy from raw total energies (eV per atom): -0.2098

a b c (Å): 3.1305 4.0965 4.7182
angles (deg): 90.00 103.21 90.00
Atoms (fractional coordinates):
Zr 0.0000 0.0000 0.0000
Fe 0.4114 0.0000 0.5071
Fe 0.7447 0.5000 0.3611
Si 0.4152 0.5000 0.7726



(17)
# SmInRu

Crystalline SmInRu at its relaxed geometry (PBE-GGA, the Alexandria database).

Summary:
ΔH_f (0 K) (eV/atom): -0.2174
N(E_F) (states/eV per cell): 1.31
SG: I4mm

a b c (Å): 6.1205 6.1205 6.1205
angles (deg): 147.46 147.46 46.69
Atoms (fractional coordinates):
Sm 0.0000 0.0000 0.0000
In 0.2843 0.2843 0.0000
Ru 0.6553 0.6553 0.0000



(18)
# TlVP3

Crystalline TlVP3 at its relaxed geometry (PBE-GGA, the Alexandria database).

Summary:
Energy above the lowest structure with this stoichiometry (meV/atom): 0
ΔH_f (0 K) (eV/atom): 0.1997
N(E_F) (states/eV per cell): 4.65
SG: Pm-3m

a b c (Å): 4.6433 4.6433 4.6433
angles (deg): 90.00 90.00 90.00
Atoms (fractional coordinates):
Tl 0.0000 0.0000 0.0000
V 0.5000 0.5000 0.5000
P 0.0000 0.5000 0.5000
P 0.5000 0.0000 0.5000
P 0.5000 0.5000 0.0000



(19)
# Pm4Ga2Sb

Crystalline Pm4Ga2Sb at its relaxed geometry (PBE-GGA, the Alexandria database).

Summary:
N(E_F) (states/eV per cell): 16.61
SG: C2/c
Formation energy from raw total energies (eV per atom): -0.5002

a b c (Å): 8.2878 8.2878 8.2738
angles (deg): 108.98 108.98 110.44
Atoms (fractional coordinates):
Pm 0.1214 0.6916 0.9306
Pm 0.2391 0.3093 0.4307
Pm 0.3084 0.8786 0.5694
Pm 0.3093 0.2391 0.9307
Pm 0.6907 0.7609 0.0693
Pm 0.6916 0.1214 0.4306
Pm 0.7609 0.6907 0.5693
Pm 0.8786 0.3084 0.0694
Ga 0.0000 0.0000 0.0000
Ga 0.0000 0.0000 0.5000
Ga 0.0000 0.5000 0.5000
Ga 0.5000 0.0000 0.0000
Sb 0.3750 0.6250 0.2500
Sb 0.6250 0.3750 0.7500



(20)
# PmTl2Pt

Crystalline PmTl2Pt at its relaxed geometry (PBE-GGA, the Alexandria database).

Summary:
Energy above the lowest structure with this stoichiometry (meV/atom): 507
ΔH_f (0 K) (eV/atom): 0.1228
N(E_F) (states/eV per cell): 2.71
SG: R-3m

a b c (Å): 10.3976 10.3976 10.3976
angles (deg): 20.10 20.10 20.10
Atoms (fractional coordinates):
Pm 0.0000 0.0000 0.0000
Tl 0.1043 0.1043 0.1043
Tl 0.8957 0.8957 0.8957
Pt 0.5000 0.5000 0.5000